No. 1
VASP calculation (GGA-PBE) on a relaxed Pm2Dy2TmSc crystal.

Cell and atoms, written as CIF:
```
data_Pm2Dy2TmSc
_symmetry_space_group_name_H-M 'P m m a'
_symmetry_Int_Tables_number 51
_cell_length_a 6.8544
_cell_length_b 5.5714
_cell_length_c 9.6536
_cell_angle_alpha 90.00
_cell_angle_beta 90.00
_cell_angle_gamma 90.00
loop_
_symmetry_equiv_pos_as_xyz
'x,y,z'
'-x,-y,-z'
'-x+1/2,-y,z'
'x+1/2,y,-z'
'x+1/2,-y,-z'
'-x+1/2,y,z'
'-x,y,-z'
'x,-y,z'
loop_
_atom_site_label
_atom_site_type_symbol
_atom_site_fract_x
_atom_site_fract_y
_atom_site_fract_z
Pm1 Pm 0.0000 0.0000 0.0000
Pm2 Pm 0.2500 0.5000 0.1845
Dy1 Dy 0.2500 0.0000 0.3328
Dy2 Dy 0.2500 0.5000 0.8351
Tm1 Tm 0.2500 0.0000 0.6538
Sc1 Sc 0.0000 0.5000 0.5000
```

Calculated values
formation energy	0.10	eV per atom

No. 2
VASP calculation (GGA-PBE) on a relaxed Pm6DyTmSc2 crystal.

Cell and atoms, written as CIF:
```
data_Pm6DyTmSc2
_symmetry_space_group_name_H-M 'C 1 2/c 1'
_symmetry_Int_Tables_number 15
_cell_length_a 9.0439
_cell_length_b 14.9962
_cell_length_c 9.5127
_cell_angle_alpha 90.00
_cell_angle_beta 98.34
_cell_angle_gamma 90.00
loop_
_symmetry_equiv_pos_as_xyz
'x,y,z'
'-x,-y,-z'
'-x,y,-z+1/2'
'x,-y,z+1/2'
'x+1/2,y+1/2,z'
'-x+1/2,-y+1/2,-z'
'-x+1/2,y+1/2,-z+1/2'
'x+1/2,-y+1/2,z+1/2'
loop_
_atom_site_label
_atom_site_type_symbol
_atom_site_fract_x
_atom_site_fract_y
_atom_site_fract_z
Pm1 Pm 0.0635 0.1742 0.4475
Pm2 Pm 0.0985 0.3973 0.6186
Pm3 Pm 0.2128 0.2259 0.8167
Dy1 Dy 0.0000 0.4076 0.2500
Tm1 Tm 0.0000 0.0282 0.7500
Sc1 Sc 0.2455 0.0489 0.0477
```

Calculated values
formation energy	0.12	eV per atom

No. 3
VASP calculation (GGA-PBE) on a relaxed PmDyTm2Sc2 crystal.

Cell and atoms, written as CIF:
```
data_PmDyTm2Sc2
_symmetry_space_group_name_H-M 'P n n m'
_symmetry_Int_Tables_number 58
_cell_length_a 6.7241
_cell_length_b 9.4817
_cell_length_c 5.4602
_cell_angle_alpha 90.00
_cell_angle_beta 90.00
_cell_angle_gamma 90.00
loop_
_symmetry_equiv_pos_as_xyz
'x,y,z'
'-x,-y,-z'
'-x,-y,z'
'x,y,-z'
'x+1/2,-y+1/2,-z+1/2'
'-x+1/2,y+1/2,z+1/2'
'-x+1/2,y+1/2,-z+1/2'
'x+1/2,-y+1/2,z+1/2'
loop_
_atom_site_label
_atom_site_type_symbol
_atom_site_fract_x
_atom_site_fract_y
_atom_site_fract_z
Pm1 Pm 0.0000 0.0000 0.0000
Dy1 Dy 0.0000 0.5000 0.5000
Tm1 Tm 0.2482 0.3335 0.0000
Sc1 Sc 0.2499 0.1667 0.5000
```

Calculated values
formation energy	0.08	eV per atom

No. 4
VASP calculation (GGA-PBE) on a relaxed Pm5DyTmSc2 crystal.

Cell and atoms, written as CIF:
```
data_Pm5DyTmSc2
_symmetry_space_group_name_H-M 'C m c 21'
_symmetry_Int_Tables_number 36
_cell_length_a 5.5122
_cell_length_b 20.1818
_cell_length_c 10.4689
_cell_angle_alpha 90.00
_cell_angle_beta 90.00
_cell_angle_gamma 90.00
loop_
_symmetry_equiv_pos_as_xyz
'x,y,z'
'-x,-y,z+1/2'
'-x,y,z'
'x,-y,z+1/2'
'x+1/2,y+1/2,z'
'-x+1/2,-y+1/2,z+1/2'
'-x+1/2,y+1/2,z'
'x+1/2,-y+1/2,z+1/2'
loop_
_atom_site_label
_atom_site_type_symbol
_atom_site_fract_x
_atom_site_fract_y
_atom_site_fract_z
Pm1 Pm 0.0000 0.0111 0.0000
Pm2 Pm 0.0000 0.2741 0.3053
Pm3 Pm 0.0000 0.3013 0.6978
Pm4 Pm 0.0000 0.3801 0.0079
Pm5 Pm 0.0000 0.4832 0.7292
Dy1 Dy 0.0000 0.1927 0.0021
Tm1 Tm 0.0000 0.4067 0.4433
Sc1 Sc 0.0000 0.1108 0.2858
Sc2 Sc 0.0000 0.1138 0.7313
```

Calculated values
formation energy	0.17	eV per atom

No. 5
VASP calculation (GGA-PBE) on a relaxed Pm2DyTmSc5 crystal.

Cell and atoms, written as CIF:
```
data_Pm2DyTmSc5
_symmetry_space_group_name_H-M 'I 4/m c m'
_symmetry_Int_Tables_number 140
_symmetry_space_group_name_Hall '-I 4 2c'
_cell_length_a 8.3088
_cell_length_b 8.3088
_cell_length_c 14.5012
_cell_angle_alpha 90.00
_cell_angle_beta 90.00
_cell_angle_gamma 90.00
loop_
_atom_site_label
_atom_site_type_symbol
_atom_site_fract_x
_atom_site_fract_y
_atom_site_fract_z
Pm1 Pm 0.1198 0.3802 0.0000
Dy1 Dy 0.0000 0.0000 0.2500
Tm1 Tm 0.0000 0.5000 0.2500
Sc1 Sc 0.0000 0.0000 0.0000
Sc2 Sc 0.2109 0.2891 0.3617
```

Calculated values
formation energy	0.28	eV per atom

No. 6
VASP calculation (GGA-PBE) on a relaxed PmDyTm2Sc crystal.

Cell and atoms, written as CIF:
```
data_PmDyTm2Sc
_symmetry_space_group_name_H-M 'C m c m'
_symmetry_Int_Tables_number 63
_symmetry_space_group_name_Hall '-C 2c 2'
_cell_length_a 8.1329
_cell_length_b 11.1710
_cell_length_c 7.0546
_cell_angle_alpha 90.00
_cell_angle_beta 90.00
_cell_angle_gamma 90.00
loop_
_atom_site_label
_atom_site_type_symbol
_atom_site_fract_x
_atom_site_fract_y
_atom_site_fract_z
Pm1 Pm 0.0000 0.2299 0.2500
Dy1 Dy 0.0000 0.2315 0.7500
Tm1 Tm 0.1963 0.0000 0.0000
Sc1 Sc 0.0000 0.4965 0.2500
```

Calculated values
formation energy	0.33	eV per atom

No. 7
VASP calculation (GGA-PBE) on a relaxed Pm2DyTm6Sc3 crystal.

Cell and atoms, written as CIF:
```
data_Pm2DyTm6Sc3
_symmetry_space_group_name_H-M 'C 1 2/m 1'
_symmetry_Int_Tables_number 12
_cell_length_a 6.0204
_cell_length_b 10.4229
_cell_length_c 11.4194
_cell_angle_alpha 90.00
_cell_angle_beta 100.11
_cell_angle_gamma 90.00
loop_
_symmetry_equiv_pos_as_xyz
'x,y,z'
'-x,-y,-z'
'-x,y,-z'
'x,-y,z'
'x+1/2,y+1/2,z'
'-x+1/2,-y+1/2,-z'
'-x+1/2,y+1/2,-z'
'x+1/2,-y+1/2,z'
loop_
_atom_site_label
_atom_site_type_symbol
_atom_site_fract_x
_atom_site_fract_y
_atom_site_fract_z
Pm1 Pm 0.0000 0.1668 0.0000
Dy1 Dy 0.0000 0.5000 0.0000
Tm1 Tm 0.2460 0.5000 0.7395
Tm2 Tm 0.2466 0.1665 0.7394
Sc1 Sc 0.0000 0.0000 0.5000
Sc2 Sc 0.0000 0.3336 0.5000
```

Calculated values
formation energy	0.05	eV per atom

No. 8
VASP calculation (GGA-PBE) on a relaxed Pm2DyTmSc crystal.

Cell and atoms, written as CIF:
```
data_Pm2DyTmSc
_symmetry_space_group_name_H-M 'C m c m'
_symmetry_Int_Tables_number 63
_symmetry_space_group_name_Hall '-C 2c 2'
_cell_length_a 6.4018
_cell_length_b 15.8344
_cell_length_c 6.4076
_cell_angle_alpha 90.00
_cell_angle_beta 90.00
_cell_angle_gamma 90.00
loop_
_atom_site_label
_atom_site_type_symbol
_atom_site_fract_x
_atom_site_fract_y
_atom_site_fract_z
Pm1 Pm 0.2488 0.0000 0.0000
Dy1 Dy 0.0000 0.3390 0.2500
Tm1 Tm 0.0000 0.2504 0.7500
Sc1 Sc 0.0000 0.1551 0.2500
```

Calculated values
formation energy	0.39	eV per atom